# 1
# V3SnO9 PBE with a Hubbard U relaxed
# mass density: 3078 kg/m3
data_V3SnO9
_space_group_name_H-M_alt 'C 1 c 1'
_space_group_IT_number 9
_cell_length_a 14.684
_cell_length_b 7.223
_cell_length_c 10.521
_cell_angle_alpha 90.00
_cell_angle_beta 126.53
_cell_angle_gamma 90.00
loop_
_space_group_symop_operation_xyz
'x,y,z'
'x,-y,z+1/2'
'x+1/2,y+1/2,z'
'x+1/2,-y+1/2,z+1/2'
loop_
_atom_site_label
_atom_site_fract_x
_atom_site_fract_y
_atom_site_fract_z
V1 0.000 0.036 0.000
V2 0.128 0.405 0.939
V3 0.387 0.101 0.579
Sn1 0.254 0.244 0.755
O1 0.004 0.495 0.249
O2 0.056 0.185 0.935
O3 0.108 0.090 0.658
O4 0.161 0.454 0.595
O5 0.233 0.357 0.915
O6 0.278 0.126 0.597
O7 0.346 0.029 0.916
O8 0.402 0.391 0.849
O9 0.430 0.328 0.560



# 2
# VSn2O6 PBE with a Hubbard U relaxed
# mass density: 5061 kg/m3
data_VSn2O6
_space_group_name_H-M_alt 'C 1 2/m 1'
_space_group_IT_number 12
_cell_length_a 10.207
_cell_length_b 3.207
_cell_length_c 7.793
_cell_angle_alpha 90.00
_cell_angle_beta 98.63
_cell_angle_gamma 90.00
loop_
_space_group_symop_operation_xyz
'x,y,z'
'-x,-y,-z'
'-x,y,-z'
'x,-y,z'
'x+1/2,y+1/2,z'
'-x+1/2,-y+1/2,-z'
'-x+1/2,y+1/2,-z'
'x+1/2,-y+1/2,z'
loop_
_atom_site_label
_atom_site_fract_x
_atom_site_fract_y
_atom_site_fract_z
V1 0.000 0.000 0.000
Sn1 0.246 0.000 0.680
O1 0.121 0.000 0.861
O2 0.139 0.000 0.198
O3 0.152 0.500 0.541



# 3
# V2SnWO8 PBE with a Hubbard U relaxed
# mass density: 6418 kg/m3
data_V2SnWO8
_space_group_name_H-M_alt 'C m m m'
_space_group_IT_number 65
_space_group_name_Hall '-C 2 2'
_cell_length_a 6.557
_cell_length_b 6.605
_cell_length_c 6.361
_cell_angle_alpha 90.00
_cell_angle_beta 90.00
_cell_angle_gamma 90.00
loop_
_atom_site_label
_atom_site_fract_x
_atom_site_fract_y
_atom_site_fract_z
V1 0.000 0.000 0.247
Sn1 0.000 0.500 0.000
W1 0.000 0.500 0.500
O1 0.000 0.300 0.257
O2 0.185 0.000 0.000
O3 0.200 0.000 0.500



# 4
# YVSn2O PBE with a Hubbard U relaxed
# mass density: 5754 kg/m3
data_YVSn2O
_space_group_name_H-M_alt 'P 4/m m m'
_space_group_IT_number 123
_space_group_name_Hall '-P 4 2'
_cell_length_a 5.629
_cell_length_b 5.629
_cell_length_c 3.582
_cell_angle_alpha 90.00
_cell_angle_beta 90.00
_cell_angle_gamma 90.00
loop_
_atom_site_label
_atom_site_fract_x
_atom_site_fract_y
_atom_site_fract_z
Y1 0.000 0.000 0.000
V1 0.500 0.500 0.500
Sn1 0.000 0.500 0.500
O1 0.500 0.500 0.000



# 5
# VZnSnO4 PBE with a Hubbard U relaxed
# mass density: 5701 kg/m3
data_VZnSnO4
_space_group_name_H-M_alt 'I m m a'
_space_group_IT_number 74
_space_group_name_Hall '-I 2b 2'
_cell_length_a 6.115
_cell_length_b 6.391
_cell_length_c 8.914
_cell_angle_alpha 90.00
_cell_angle_beta 90.00
_cell_angle_gamma 90.00
loop_
_atom_site_label
_atom_site_fract_x
_atom_site_fract_y
_atom_site_fract_z
V1 0.250 0.250 0.250
Zn1 0.000 0.250 0.638
Sn1 0.000 0.000 0.000
O1 0.000 0.015 0.235
O2 0.234 0.250 0.006



# 6
# SnW2O PBE with a Hubbard U relaxed
# mass density: 11646 kg/m3
data_SnW2O
_space_group_name_H-M_alt 'I -4 2 d'
_space_group_IT_number 122
_space_group_name_Hall 'I -4 2bw'
_cell_length_a 6.725
_cell_length_b 6.725
_cell_length_c 6.335
_cell_angle_alpha 90.00
_cell_angle_beta 90.00
_cell_angle_gamma 90.00
loop_
_atom_site_label
_atom_site_fract_x
_atom_site_fract_y
_atom_site_fract_z
Sn1 0.000 0.000 0.000
W1 0.142 0.250 0.625
O1 0.000 0.000 0.500



# 7
# SnWO3 PBE with a Hubbard U relaxed
# mass density: 8861 kg/m3
data_SnWO3
_space_group_name_H-M_alt 'P m -3 m'
_space_group_IT_number 221
_space_group_name_Hall '-P 4 2 3'
_cell_length_a 4.035
_cell_length_b 4.035
_cell_length_c 4.035
_cell_angle_alpha 90.00
_cell_angle_beta 90.00
_cell_angle_gamma 90.00
loop_
_atom_site_label
_atom_site_fract_x
_atom_site_fract_y
_atom_site_fract_z
Sn1 0.000 0.000 0.000
W1 0.500 0.500 0.500
O1 0.000 0.000 0.500



# 8
# SnWO4 PBE with a Hubbard U relaxed
# mass density: 5486 kg/m3
data_SnWO4
_space_group_name_H-M_alt 'P 21 3'
_space_group_IT_number 198
_space_group_name_Hall 'P 2ac 2ab 3'
_cell_length_a 7.628
_cell_length_b 7.628
_cell_length_c 7.628
_cell_angle_alpha 90.00
_cell_angle_beta 90.00
_cell_angle_gamma 90.00
loop_
_atom_site_label
_atom_site_fract_x
_atom_site_fract_y
_atom_site_fract_z
Sn1 0.173 0.327 0.673
W1 0.168 0.168 0.168
O1 0.045 0.644 0.227
O2 0.196 0.696 0.804



Calculated values (eV/atom) of VASP energy for the records, taken in order: -7.246; -6.430; -7.418; -5.761; -6.265; -5.621; -5.658; -6.885.